[1]
# PBE-GGA YCrC2, relaxed
data_YCrC2
_chemical_formula_sum 'Y4 Cr4 C8'
_cell_length_a 5.738
_cell_length_b 5.738
_cell_length_c 5.738
_cell_angle_alpha 90.00
_cell_angle_beta 90.00
_cell_angle_gamma 90.00
_space_group_name_H-M_alt 'F m -3 m'
_space_group_IT_number 225
_space_group_name_Hall '-F 4 2 3'
loop_
_atom_site_label
_atom_site_fract_x
_atom_site_fract_y
_atom_site_fract_z
_atom_site_occupancy
Y1 0.000 0.000 0.000 1
Cr1 0.000 0.000 0.500 1
C1 0.250 0.250 0.250 1
# uncorrected energy: -0.2850 Ha/atom
# crystal system: cubic


[2]
# PBE-GGA Cs3LaNd2Se6, relaxed
data_Cs3LaNd2Se6
_chemical_formula_sum 'Cs6 La2 Nd4 Se12'
_cell_length_a 7.682
_cell_length_b 13.304
_cell_length_c 8.785
_cell_angle_alpha 90.00
_cell_angle_beta 106.94
_cell_angle_gamma 90.00
_space_group_name_H-M_alt 'C 1 2/m 1'
_space_group_IT_number 12
_space_group_name_Hall '-C 2y'
loop_
_atom_site_label
_atom_site_fract_x
_atom_site_fract_y
_atom_site_fract_z
_atom_site_occupancy
Cs1 0.000 0.000 0.000 1
Cs2 0.000 0.333 0.000 1
La1 0.000 0.500 0.500 1
Nd1 0.000 0.167 0.500 1
Se1 0.227 0.000 0.691 1
Se2 0.232 0.332 0.691 1
# energy relative to the elements, uncorrected: -1.757 eV per atom
# crystal system: monoclinic


[3]
# PBE-GGA Th5InFe, relaxed
data_Th5InFe
_chemical_formula_sum 'Th5 In1 Fe1'
_cell_length_a 4.837
_cell_length_b 4.837
_cell_length_c 8.483
_cell_angle_alpha 90.00
_cell_angle_beta 90.00
_cell_angle_gamma 90.00
_space_group_name_H-M_alt 'P 4/m m m'
_space_group_IT_number 123
_space_group_name_Hall '-P 4 2'
loop_
_atom_site_label
_atom_site_fract_x
_atom_site_fract_y
_atom_site_fract_z
_atom_site_occupancy
Th1 0.000 0.000 0.000 1
Th2 0.000 0.500 0.300 1
In1 0.500 0.500 0.000 1
Fe1 0.000 0.000 0.500 1
# uncorrected energy: -0.2535 Ha/atom
# crystal system: tetragonal


[4]
# PBE-GGA CeBe2H7, relaxed
data_CeBe2H7
_chemical_formula_sum 'Ce2 Be4 H14'
_cell_length_a 5.046
_cell_length_b 8.561
_cell_length_c 3.294
_cell_angle_alpha 90.00
_cell_angle_beta 90.00
_cell_angle_gamma 90.00
_space_group_name_H-M_alt 'C m m m'
_space_group_IT_number 65
_space_group_name_Hall '-C 2 2'
loop_
_atom_site_label
_atom_site_fract_x
_atom_site_fract_y
_atom_site_fract_z
_atom_site_occupancy
Ce1 0.000 0.000 0.000 1
Be1 0.000 0.313 0.500 1
H1 0.000 0.292 0.000 1
H2 0.000 0.500 0.500 1
H3 0.186 0.142 0.500 1
# uncorrected energy: -0.1377 Ha/atom
# crystal system: orthorhombic


[5]
# PBE-GGA Ti6Ga2As, relaxed
data_Ti6Ga2As
_chemical_formula_sum 'Ti6 Ga2 As1'
_cell_length_a 7.0554
_cell_length_b 7.0554
_cell_length_c 3.4477
_cell_angle_alpha 90.00
_cell_angle_beta 90.00
_cell_angle_gamma 120.00
_space_group_name_H-M_alt 'P -6 2 m'
_space_group_IT_number 189
_space_group_name_Hall 'P -6 -2'
loop_
_atom_site_label
_atom_site_fract_x
_atom_site_fract_y
_atom_site_fract_z
_atom_site_occupancy
Ti1 0.0000 0.2651 0.0000 1
Ti2 0.0000 0.6050 0.5000 1
Ga1 0.3333 0.6667 0.0000 1
As1 0.0000 0.0000 0.5000 1
# uncorrected energy: -0.2573 Ha/atom
# crystal system: hexagonal


[6]
# PBE-GGA Pr2HoHg, relaxed
data_Pr2HoHg
_chemical_formula_sum 'Pr2 Ho1 Hg1'
_cell_length_a 3.745
_cell_length_b 3.745
_cell_length_c 8.971
_cell_angle_alpha 90.00
_cell_angle_beta 90.00
_cell_angle_gamma 90.00
_space_group_name_H-M_alt 'P 4/m m m'
_space_group_IT_number 123
_space_group_name_Hall '-P 4 2'
loop_
_atom_site_label
_atom_site_fract_x
_atom_site_fract_y
_atom_site_fract_z
_atom_site_occupancy
Pr1 0.000 0.000 0.226 1
Ho1 0.500 0.500 0.500 1
Hg1 0.500 0.500 0.000 1
# energy above the most stable polymorph in this dataset: 2.1 kJ per mole of atoms
# crystal system: tetragonal